1.
First-principles (PBE) data for crystalline TaMnSb2 at its relaxed geometry, as listed in Alexandria via LeMat-Bulk.

Summary:
The uncorrected formation energy comes out at 0.357 eV per atom. As for the space group: Cmmm (65). As for the total DFT energy (no corrections): -27.84 eV for the cell shown.

Cell: 3.221 3.221 8.148 Å, 90.00 90.00 105.35°
Positions (direct):
Ta  0.000  0.000  0.000
Mn  0.000  0.000  0.500
Sb  0.500  0.500  0.257
Sb  0.500  0.500  0.743


2.
First-principles (PBE) data for crystalline PuSbSe2 at its relaxed geometry, as listed in Alexandria via LeMat-Bulk.

Summary:
The uncorrected formation energy comes out at -0.171 eV per atom. As for the space group: R-3m (166). As for the total DFT energy (no corrections): -26.11 eV for the cell shown.

Cell: 9.415 9.415 9.415 Å, 24.55 24.55 24.55°
Positions (direct):
Pu  0.000  0.000  0.000
Sb  0.500  0.500  0.500
Se  0.105  0.105  0.105
Se  0.895  0.895  0.895


3.
First-principles (PBE) data for crystalline Zn4As3 at its relaxed geometry, as listed in Alexandria via LeMat-Bulk.

Summary:
As for the space group: P6/mmm (191). The calculation puts the formation energy at 2.3 eV per formula unit. As for the total DFT energy (no corrections): -16.74 eV for the cell shown.

Cell: 5.743 5.743 4.763 Å, 90.00 90.00 120.00°
Positions (direct):
Zn  0.000  0.000  0.246
Zn  0.000  0.000  0.754
Zn  0.333  0.667  0.000
Zn  0.667  0.333  0.000
As  0.000  0.500  0.500
As  0.500  0.000  0.500
As  0.500  0.500  0.500


4.
First-principles (PBE) data for crystalline NdSmPuN3 at its relaxed geometry, as listed in Alexandria via LeMat-Bulk.

Summary:
The uncorrected formation energy comes out at -0.934 eV per atom. As for the space group: P2_1/m (11). As for the total DFT energy (no corrections): -108.80 eV for the cell shown.

Cell: 7.322 3.683 8.384 Å, 90.00 96.59 90.00°
Positions (direct):
Nd  0.160  0.250  0.139
Nd  0.840  0.750  0.861
Sm  0.375  0.750  0.840
Sm  0.625  0.250  0.160
Pu  0.057  0.250  0.577
Pu  0.943  0.750  0.423
N  0.100  0.250  0.844
N  0.219  0.750  0.568
N  0.389  0.750  0.124
N  0.611  0.250  0.876
N  0.781  0.250  0.432
N  0.900  0.750  0.156


5.
First-principles (PBE) data for crystalline La3NdSn2 at its relaxed geometry, as listed in Alexandria via LeMat-Bulk.

Summary:
As for the space group: Pmm2 (25). The calculation puts the formation energy at -1.9 eV per formula unit. As for the total DFT energy (no corrections): -29.43 eV for the cell shown.

Cell: 3.399 5.387 9.603 Å, 90.00 90.00 90.00°
Positions (direct):
La  0.000  0.000  0.000
La  0.000  0.000  0.321
La  0.000  0.500  0.828
Nd  0.000  0.500  0.502
Sn  0.500  0.000  0.658
Sn  0.500  0.500  0.165


6.
First-principles (PBE) data for crystalline Rb2CuBr6Cl at its relaxed geometry, as listed in Alexandria via LeMat-Bulk.

Summary:
The uncorrected formation energy comes out at -0.729 eV per atom. As for the space group: I4/mmm (139). As for the total DFT energy (no corrections): -25.20 eV for the cell shown.

Cell: 7.847 7.847 7.847 Å, 122.61 122.61 85.54°
Positions (direct):
Rb  0.250  0.750  0.500
Rb  0.750  0.250  0.500
Cu  0.000  0.000  0.000
Br  0.204  0.204  0.000
Br  0.251  0.251  0.503
Br  0.251  0.749  0.000
Br  0.749  0.251  0.000
Br  0.749  0.749  0.497
Br  0.796  0.796  0.000
Cl  0.500  0.500  0.000


7.
First-principles (PBE) data for crystalline Li5Ca3 at its relaxed geometry, as listed in Alexandria via LeMat-Bulk.

Summary:
As for the space group: P6_3/mcm (193). The calculation puts the formation energy at 0.9 eV per formula unit. As for the total DFT energy (no corrections): -29.28 eV for the cell shown.

Cell: 9.581 9.581 5.896 Å, 90.00 90.00 120.00°
Positions (direct):
Li  0.000  0.194  0.250
Li  0.000  0.806  0.750
Li  0.194  0.000  0.250
Li  0.194  0.194  0.750
Li  0.333  0.667  0.000
Li  0.333  0.667  0.500
Li  0.667  0.333  0.000
Li  0.667  0.333  0.500
Li  0.806  0.000  0.750
Li  0.806  0.806  0.250
Ca  0.000  0.385  0.750
Ca  0.000  0.615  0.250
Ca  0.385  0.000  0.750
Ca  0.385  0.385  0.250
Ca  0.615  0.000  0.250
Ca  0.615  0.615  0.750


8.
First-principles (PBE) data for crystalline LiNd3Ni at its relaxed geometry, as listed in Alexandria via LeMat-Bulk.

Summary:
As for the space group: Pm-3m (221). The calculation puts the formation energy at 0.4 eV per formula unit. As for the total DFT energy (no corrections): -21.62 eV for the cell shown.

Cell: 5.467 5.467 5.467 Å, 90.00 90.00 90.00°
Positions (direct):
Li  0.000  0.000  0.000
Nd  0.000  0.500  0.500
Nd  0.500  0.000  0.500
Nd  0.500  0.500  0.000
Ni  0.500  0.500  0.500


9.
First-principles (PBE) data for crystalline Th8GeP3Se4 at its relaxed geometry, as listed in Alexandria via LeMat-Bulk.

Summary:
The uncorrected formation energy comes out at -1.508 eV per atom. As for the space group: R-3m (166). As for the total DFT energy (no corrections): -118.27 eV for the cell shown.

Cell: 8.430 8.430 8.430 Å, 59.52 59.52 59.52°
Positions (direct):
Th  0.239  0.748  0.748
Th  0.244  0.244  0.244
Th  0.252  0.252  0.761
Th  0.252  0.761  0.252
Th  0.748  0.239  0.748
Th  0.748  0.748  0.239
Th  0.756  0.756  0.756
Th  0.761  0.252  0.252
Ge  0.500  0.500  0.500
P  0.000  0.000  0.500
P  0.000  0.500  0.000
P  0.500  0.000  0.000
Se  0.000  0.000  0.000
Se  0.000  0.500  0.500
Se  0.500  0.000  0.500
Se  0.500  0.500  0.000


10.
First-principles (PBE) data for crystalline Ca4ScHg5 at its relaxed geometry, as listed in Alexandria via LeMat-Bulk.

Summary:
As for the space group: P4/mmm (123). The calculation puts the formation energy at -5.2 eV per formula unit. As for the total DFT energy (no corrections): -21.03 eV for the cell shown.

Cell: 3.713 3.713 18.805 Å, 90.00 90.00 90.00°
Positions (direct):
Ca  0.000  0.000  0.103
Ca  0.000  0.000  0.309
Ca  0.000  0.000  0.691
Ca  0.000  0.000  0.897
Sc  0.000  0.000  0.500
Hg  0.500  0.500  0.000
Hg  0.500  0.500  0.206
Hg  0.500  0.500  0.414
Hg  0.500  0.500  0.586
Hg  0.500  0.500  0.794


11.
First-principles (PBE) data for crystalline FeAgBr2 at its relaxed geometry, as listed in Alexandria via LeMat-Bulk.

Summary:
The uncorrected formation energy comes out at 0.253 eV per atom. As for the space group: Pmmm (47). As for the total DFT energy (no corrections): -13.65 eV for the cell shown.

Cell: 3.755 3.969 6.448 Å, 90.00 90.00 90.00°
Positions (direct):
Fe  0.000  0.000  0.000
Ag  0.000  0.500  0.500
Br  0.500  0.000  0.500
Br  0.500  0.500  0.000


12.
First-principles (PBE) data for crystalline TlCoGe2Ir at its relaxed geometry, as listed in Alexandria via LeMat-Bulk.

Summary:
As for the space group: P4/mmm (123). The calculation puts the formation energy at 4.0 eV per formula unit. As for the total DFT energy (no corrections): -23.61 eV for the cell shown.

Cell: 4.738 4.738 5.345 Å, 90.00 90.00 90.00°
Positions (direct):
Tl  0.000  0.000  0.000
Co  0.500  0.500  0.000
Ge  0.000  0.500  0.500
Ge  0.500  0.000  0.500
Ir  0.000  0.000  0.500